LiMn3Zn: relaxed, PBE.

Calculated values
Total moment in μB per cell: 9.97
Symmetry: Pm-3m, No. 221
Fermi-level density of states in states/eV/f.u.: 1.5
Energy above the most stable polymorph in this dataset in eV per formula unit: 0.42

The structure in extended XYZ format:
```
5
Lattice="4.1965 0.0000 0.0000 0.0000 4.1965 0.0000 0.0000 0.0000 4.1965" Properties=species:S:1:pos:R:3 pbc="T T T"
Zn 2.0982 2.0982 2.0982
Li 0.0000 0.0000 0.0000
Mn 0.0000 2.0982 0.0000
Mn 2.0982 0.0000 0.0000
Mn 0.0000 0.0000 2.0982
```



LiMn2Zn: relaxed, PBE.

Calculated values
Total moment in μB per cell: 6.86
Symmetry: I4/mmm, No. 139
Fermi-level density of states in states/eV/f.u.: 3.8
VASP energy in eV/atom: -5.144

The structure in extended XYZ format:
```
4
Lattice="4.6176 -0.0012 0.0000 1.3501 4.4158 0.0000 -2.9838 -2.2073 2.7471" Properties=species:S:1:pos:R:3 pbc="T T T"
Mn 0.0000 0.0000 0.0000
Mn 2.9838 2.2073 0.0000
Li 2.3088 -0.0006 1.3735
Zn 0.6750 2.2079 1.3735
```



Li2MnZn: relaxed, PBE.

Calculated values
Total moment in μB per cell: 3.94
Symmetry: P4/mmm, No. 123
Fermi-level density of states in states/eV/f.u.: 2.2
VASP energy in eV/atom: -3.387

The structure in extended XYZ format:
```
4
Lattice="-1.6700 -2.3679 -1.3461 2.5468 -1.9174 0.2134 -1.7851 -1.7767 5.3399" Properties=species:S:1:pos:R:3 pbc="T T T"
Li -0.9143 -0.9100 2.7350
Li -1.7633 -1.7551 5.2749
Zn -0.9004 -3.4752 3.4386
Mn -0.0079 -2.5869 0.7686
```



LiMnZn2: relaxed, PBE.

Calculated values
Total moment in μB per cell: 3.46
Symmetry: P4mm, No. 99
Fermi-level density of states in states/eV/f.u.: 2.4
VASP energy in eV/atom: -3.322

The structure in extended XYZ format:
```
4
Lattice="-0.6388 2.2067 1.5202 -0.3414 -1.6171 2.2039 7.5463 0.9161 1.8411" Properties=species:S:1:pos:R:3 pbc="T T T"
Zn 1.3831 0.5222 2.3191
Li 3.7314 0.4530 0.9103
Zn 7.5017 0.9107 1.8302
Mn 5.2695 0.9940 3.2672
```



LiMn3Zn: relaxed, PBE.

Calculated values
Total moment in μB per cell: 12.07
Symmetry: Pm-3m, No. 221
Fermi-level density of states in states/eV/f.u.: 5.4
Energy above the most stable polymorph in this dataset in eV per formula unit: 0.00

The structure in extended XYZ format:
```
5
Lattice="4.7211 0.0000 0.0000 0.0000 4.7211 0.0000 0.0000 0.0000 4.7211" Properties=species:S:1:pos:R:3 pbc="T T T"
Mn 0.0000 0.0000 2.3606
Li 2.3606 2.3606 2.3606
Zn 0.0000 0.0000 0.0000
Mn 2.3606 0.0000 0.0000
Mn 0.0000 2.3606 0.0000
```



LiMn2Zn: relaxed, PBE.

Calculated values
Total moment in μB per cell: 0.17
Symmetry: F-43m, No. 216
Fermi-level density of states in states/eV/f.u.: 5.3
VASP energy in eV/atom: -5.272

The structure in extended XYZ format:
```
4
Lattice="4.2168 -0.0187 -0.0587 0.0226 4.2167 0.0587 -2.0781 -2.1410 2.9804" Properties=species:S:1:pos:R:3 pbc="T T T"
Mn 2.1292 -0.0304 1.4608
Zn 2.1198 2.0992 0.0000
Li 0.0320 2.0873 1.5195
Mn 4.2393 4.1980 0.0000
```



LiMn2Zn: relaxed, PBE.

Calculated values
Total moment in μB per cell: 5.05
Symmetry: C2/m, No. 12
Fermi-level density of states in states/eV/f.u.: 2.5
VASP energy in eV/atom: -5.156

The structure in extended XYZ format:
```
4
Lattice="4.7302 -0.0377 -0.0081 4.0402 2.4603 -0.0081 0.7283 0.2012 4.4181" Properties=species:S:1:pos:R:3 pbc="T T T"
Li 7.1240 1.9678 3.3014
Mn 4.7888 1.3228 2.1733
Mn 8.7309 2.4117 0.0114
Zn 2.3747 0.6559 1.1005
```



LiMnZn2: relaxed, PBE.

Calculated values
Total moment in μB per cell: 3.72
Symmetry: I-4m2, No. 119
Fermi-level density of states in states/eV/f.u.: 1.1
VASP energy in eV/atom: -3.410

The structure in extended XYZ format:
```
4
Lattice="4.2912 -0.0428 0.0000 0.0137 4.2914 0.0000 -2.1524 -2.1243 3.0447" Properties=species:S:1:pos:R:3 pbc="T T T"
Mn 2.1456 -0.0214 1.5224
Li 2.1524 2.1243 0.0000
Zn 0.0068 2.1457 1.5224
Zn 0.0000 0.0000 0.0000
```



LiMn2Zn: relaxed, PBE.

Calculated values
Total moment in μB per cell: 0.98
Symmetry: P4mm, No. 99
Fermi-level density of states in states/eV/f.u.: 2.1
VASP energy in eV/atom: -5.285

The structure in extended XYZ format:
```
4
Lattice="2.8844 0.0000 0.0000 0.0000 2.8844 0.0000 0.0000 0.0000 6.4129" Properties=species:S:1:pos:R:3 pbc="T T T"
Li 1.4422 1.4422 4.7850
Mn 0.0000 0.0000 0.2573
Mn 1.4422 1.4422 1.4612
Zn 0.0000 0.0000 3.1158
```



LiMn2Zn: relaxed, PBE.

Calculated values
Total moment in μB per cell: 0.24
Symmetry: Cmm2, No. 35
Fermi-level density of states in states/eV/f.u.: 3.3
VASP energy in eV/atom: -5.226

The structure in extended XYZ format:
```
4
Lattice="2.5146 0.0090 0.0000 -0.9816 2.3152 0.0000 0.0000 0.0000 8.7381" Properties=species:S:1:pos:R:3 pbc="T T T"
Zn 0.0000 0.0000 4.2931
Mn 0.0000 0.0000 0.1282
Li 0.7665 1.1621 6.6205
Mn 0.7665 1.1621 2.0653
```



Li2MnZn: relaxed, PBE.

Calculated values
Total moment in μB per cell: 0.00
Symmetry: P4/mmm, No. 123
Fermi-level density of states in states/eV/f.u.: 2.5
VASP energy in eV/atom: -3.343

The structure in extended XYZ format:
```
4
Lattice="2.4176 0.0000 0.0000 0.0000 2.4176 0.0000 0.0000 0.0000 8.8317" Properties=species:S:1:pos:R:3 pbc="T T T"
Mn 1.2088 1.2088 2.2079
Li 0.0000 0.0000 4.3496
Zn 1.2088 1.2088 6.6238
Li 0.0000 0.0000 0.0662
```



Li2MnZn: relaxed, PBE.

Calculated values
Total moment in μB per cell: 3.29
Symmetry: Pmmm, No. 47
Fermi-level density of states in states/eV/f.u.: 2.7
VASP energy in eV/atom: -3.412

The structure in extended XYZ format:
```
4
Lattice="2.6084 0.0000 0.0000 0.0000 4.2490 0.0000 0.0000 0.0000 5.3477" Properties=species:S:1:pos:R:3 pbc="T T T"
Zn 1.3042 2.1245 4.0108
Li 0.0000 0.0000 2.6903
Mn 1.3042 2.1245 1.3369
Li 0.0000 0.0000 5.3313
```



Li2MnZn: relaxed, PBE.

Calculated values
Total moment in μB per cell: 7.49
Symmetry: I-42d, No. 122
Fermi-level density of states in states/eV/f.u.: 2.3
VASP energy in eV/atom: -3.252

The structure in extended XYZ format:
```
8
Lattice="-1.8687 -1.0771 6.6899 1.2445 -6.8761 -0.7595 2.1408 -3.6148 3.7087" Properties=species:S:1:pos:R:3 pbc="T T T"
Li 1.3565 -5.6103 5.0146
Mn 1.5366 -7.2338 2.9572
Li -0.4998 -2.4494 5.0944
Li 1.0745 -9.7534 7.9614
Zn 0.0000 0.0000 0.0000
Zn -0.0200 -4.3342 6.6819
Mn -0.3121 -3.9766 2.9652
Li 1.1020 -5.3229 1.2078
```



Li3MnZn: relaxed, PBE.

Calculated values
Total moment in μB per cell: 4.15
Symmetry: Pm-3m, No. 221
Fermi-level density of states in states/eV/f.u.: 4.1
Energy above the most stable polymorph in this dataset in eV per formula unit: 0.00

The structure in extended XYZ format:
```
5
Lattice="-2.1216 -4.1654 1.2389 2.7035 -0.1857 4.0053 -3.4024 2.4498 2.4101" Properties=species:S:1:pos:R:3 pbc="T T T"
Zn -1.4102 -0.9506 3.8272
Li -1.0608 -2.0827 0.6194
Mn 0.0000 0.0000 0.0000
Li -1.7012 1.2249 1.2051
Li 1.3518 -0.0929 2.0027
```



LiMn2Zn: relaxed, PBE.

Calculated values
Total moment in μB per cell: 0.00
Symmetry: R3m, No. 160
Fermi-level density of states in states/eV/f.u.: 0.9
VASP energy in eV/atom: -5.287

The structure in extended XYZ format:
```
4
Lattice="-8.0409 -0.1810 3.7268 -8.3729 -2.0689 2.0474 -7.3117 -2.5513 4.3137" Properties=species:S:1:pos:R:3 pbc="T T T"
Zn -11.9327 -2.4147 5.0737
Li -17.7327 -3.5884 7.5398
Mn -23.5774 -4.7712 10.0250
Mn -6.0708 -1.2285 2.5813
```



| no. | ρ (Mg/m³) |
| --- | --- |
| 1 | 5.33 |
| 2 | 5.40 |
| 3 | 3.70 |
| 4 | 5.39 |
| 5 | 3.74 |
| 6 | 5.71 |
| 7 | 5.81 |
| 8 | 5.71 |
| 9 | 5.67 |
| 10 | 5.94 |
| 11 | 4.32 |
| 12 | 3.76 |
| 13 | 3.49 |
| 14 | 2.07 |
| 15 | 6.15 |